[1]
TbPrPuMg | GGA-PBE | optimized geometry

Calculated values
The crystal system is cubic. The total moment comes out at 6.2 μB per formula unit. For the energy relative to the elements, the calculation gives 154.1 meV/atom. The total energy comes out at -6.180 eV/atom. As for the space group: No. 216.

Cell: 5.5382 5.5382 5.5382 Å, 60.00 60.00 60.00°
Site moments in Bohr magnetons follow the coordinates.
Atoms (fractional coordinates):
Pr1 0.7500 0.7500 0.7500  0.12
Mg1 0.5000 0.5000 0.5000  -0.01
Tb1 0.2500 0.2500 0.2500  0.16
Pu1 0.0000 0.0000 0.0000  5.56


[2]
Ba6AuO5 | GGA-PBE | optimized geometry

Calculated values
The crystal system is monoclinic. The total moment comes out at 0.0 μB per formula unit. As for the uncorrected formation energy: -2.04 eV/atom. The total energy comes out at -5.336 eV/atom. As for the space group: No. 12.

Cell: 7.1177 7.1705 7.1277 Å, 59.80 80.00 69.80°
Atoms (fractional coordinates):
Ba1 0.7501 0.0960 0.3733
Ba2 0.2499 0.5306 0.3733
Ba3 0.2952 0.2615 0.0000
Ba4 0.7048 0.7385 0.0000
Ba5 0.7501 0.4694 0.6267
Ba6 0.2499 0.9040 0.6267
Au1 0.0000 0.0000 0.0000
O1 0.5000 0.1657 0.6685
O2 0.0000 0.3245 0.3511
O3 0.5000 0.5000 0.0000
O4 0.0000 0.6755 0.6489
O5 0.5000 0.8343 0.3315


[3]
SrLa2Eu | GGA-PBE | optimized geometry

Calculated values
The calculation puts the energy relative to the lowest polymorph listed for this composition at 0.000 eV/atom. The crystal system is trigonal. The total moment comes out at 7.6 μB per formula unit. For the energy relative to the elements, the calculation gives 102.3 meV/atom. The total energy comes out at -5.350 eV/atom. As for the space group: No. 166.

Cell: 3.8470 3.8470 13.0577 Å, 81.53 81.53 60.00°
Site moments in Bohr magnetons follow the coordinates.
Atoms (fractional coordinates):
Eu1 0.0000 0.0000 0.0000  6.99
Sr1 0.5000 0.5000 0.5000  -0.02
La1 0.7464 0.7464 0.7608  0.04
La2 0.2536 0.2536 0.2392  0.04


[4]
ErTm5Sc3 | GGA-PBE | optimized geometry

Calculated values
The crystal system is monoclinic. The total moment comes out at 0.0 μB per formula unit. For the energy relative to the elements, the calculation gives 534.1 meV/atom. The total energy comes out at -4.568 eV/atom. As for the space group: No. 12.

Cell: 7.9570 7.9570 12.8016 Å, 59.98 59.98 89.05°
Atoms (fractional coordinates):
Er1 0.9942 0.9942 0.7762
Er2 0.0058 0.0058 0.2238
Tm1 0.7709 0.2689 0.3503
Tm2 0.2566 0.7434 0.0000
Tm3 0.6539 0.6539 0.0942
Tm4 0.3088 0.3088 0.4278
Tm5 0.6912 0.6912 0.5722
Tm6 0.3461 0.3461 0.9058
Tm7 0.2689 0.7709 0.3503
Tm8 0.7434 0.2566 0.0000
Tm9 0.2291 0.7311 0.6497
Tm10 0.7311 0.2291 0.6497
Sc1 0.6818 0.6818 0.8259
Sc2 0.6611 0.6611 0.3436
Sc3 0.0000 0.0000 0.0000
Sc4 0.0000 0.0000 0.5000
Sc5 0.3182 0.3182 0.1741
Sc6 0.3389 0.3389 0.6564


[5]
LiMg6Zn | GGA-PBE | optimized geometry

Calculated values
The calculation puts the energy relative to the lowest polymorph listed for this composition at 0.076 eV/atom. The crystal system is trigonal. The total moment comes out at 0.0 μB per formula unit. For the energy relative to the elements, the calculation gives 38.9 meV/atom. The total energy comes out at -1.556 eV/atom. As for the space group: No. 166.

Cell: 6.0964 6.0964 6.0964 Å, 109.07 109.07 109.07°
Atoms (fractional coordinates):
Li1 0.0000 0.0000 0.0000
Mg1 0.2490 0.7351 0.2490
Mg2 0.2490 0.2490 0.7351
Mg3 0.7510 0.2649 0.7510
Mg4 0.2649 0.7510 0.7510
Mg5 0.7510 0.7510 0.2649
Mg6 0.7351 0.2490 0.2490
Zn1 0.5000 0.5000 0.5000


[6]
ThAsS2 | GGA-PBE | optimized geometry

Calculated values
The crystal system is trigonal. The total moment comes out at 0.0 μB per formula unit. As for the uncorrected formation energy: -0.21 eV/atom. The total energy comes out at -5.293 eV/atom. As for the space group: No. 166.

Cell: 3.6418 3.6418 8.7989 Å, 78.06 78.06 60.00°
Atoms (fractional coordinates):
As1 0.5000 0.5000 0.5000
S1 0.1087 0.1087 0.6739
S2 0.8913 0.8913 0.3261
Th1 0.0000 0.0000 0.0000


[7]
NaInAgI5 | GGA-PBE | optimized geometry

Calculated values
The crystal system is monoclinic. The total moment comes out at 0.0 μB per formula unit. As for the uncorrected formation energy: -0.59 eV/atom. The total energy comes out at -2.425 eV/atom. As for the space group: No. 15.

Cell: 8.5334 8.5334 11.5990 Å, 110.21 110.21 88.22°
Atoms (fractional coordinates):
Na1 0.0000 0.0000 0.5000
Na2 0.0000 0.0000 0.0000
In1 0.6559 0.3441 0.2500
In2 0.3441 0.6559 0.7500
Ag1 0.3392 0.6608 0.2500
Ag2 0.6608 0.3392 0.7500
I1 0.1116 0.8884 0.2500
I2 0.8884 0.1116 0.7500
I3 0.9241 0.3581 0.1734
I4 0.0759 0.6419 0.8266
I5 0.6419 0.0759 0.3266
I6 0.3581 0.9241 0.6734
I7 0.6615 0.6556 0.4409
I8 0.3385 0.3444 0.5591
I9 0.3444 0.3385 0.0591
I10 0.6556 0.6615 0.9409


[8]
Ac3PdPt | GGA-PBE | optimized geometry

Calculated values
The calculation puts the energy relative to the lowest polymorph listed for this composition at 0.003 eV/atom. The crystal system is trigonal. The total moment comes out at 0.0 μB per formula unit. For the energy relative to the elements, the calculation gives -779.7 meV/atom. The total energy comes out at -5.491 eV/atom. As for the space group: No. 148.

Cell: 7.6770 7.6794 8.3520 Å, 62.64 62.63 59.98°
Atoms (fractional coordinates):
Ac1 0.7540 0.4314 0.7480
Ac2 0.0671 0.7537 0.7476
Ac3 0.4311 0.0668 0.7481
Ac4 0.2460 0.5686 0.2520
Ac5 0.9329 0.2463 0.2524
Ac6 0.5689 0.9332 0.2519
Pd1 0.3411 0.3410 0.9769
Pd2 0.6589 0.6590 0.0231
Pt1 0.8392 0.8394 0.4821
Pt2 0.1608 0.1606 0.5179


[9]
CdAg4 | GGA-PBE | optimized geometry

Calculated values
The calculation puts the energy relative to the lowest polymorph listed for this composition at 0.202 eV/atom. The crystal system is tetragonal. The total moment comes out at 0.0 μB per formula unit. For the energy relative to the elements, the calculation gives 174.7 meV/atom. The total energy comes out at -2.289 eV/atom. As for the space group: No. 139.

Cell: 7.5545 7.5545 7.5545 Å, 150.60 150.60 42.06°
Atoms (fractional coordinates):
Cd1 0.0000 0.0000 0.0000
Ag1 0.7500 0.2500 0.5000
Ag2 0.4030 0.4030 0.0000
Ag3 0.5970 0.5970 0.0000
Ag4 0.2500 0.7500 0.5000


[10]
TbNd2CuS5 | GGA-PBE | optimized geometry

Calculated values
The crystal system is orthorhombic. The total moment comes out at 0.0 μB per formula unit. As for the uncorrected formation energy: -1.75 eV/atom. The total energy comes out at -6.071 eV/atom. As for the space group: No. 36.

Cell: 3.9240 8.7023 11.6541 Å, 90.00 90.00 103.03°
Atoms (fractional coordinates):
Tb1 0.8052 0.6104 0.5103
Tb2 0.1948 0.3896 0.0103
Nd1 0.8788 0.7576 0.8111
Nd2 0.1082 0.2164 0.6860
Nd3 0.1212 0.2424 0.3111
Nd4 0.8918 0.7836 0.1860
Cu1 0.5577 0.1154 0.9543
Cu2 0.4423 0.8846 0.4543
S1 0.3573 0.7146 0.0020
S2 0.6848 0.3697 0.8479
S3 0.4986 0.9972 0.7787
S4 0.2895 0.5790 0.6749
S5 0.9575 0.9150 0.5589
S6 0.6427 0.2854 0.5020
S7 0.3152 0.6303 0.3479
S8 0.5014 0.0028 0.2787
S9 0.7105 0.4210 0.1749
S10 0.0425 0.0850 0.0589


[11]
LiCe2NdSe5 | GGA-PBE | optimized geometry

Calculated values
The crystal system is orthorhombic. The total moment comes out at 1.9 μB per formula unit. As for the uncorrected formation energy: -1.69 eV/atom. The total energy comes out at -5.691 eV/atom. As for the space group: No. 36.

Cell: 4.1773 8.9738 12.5695 Å, 90.00 90.00 103.46°
Site moments in Bohr magnetons follow the coordinates.
Atoms (fractional coordinates):
Li1 0.5131 0.0262 0.9812  0.00
Li2 0.4869 0.9738 0.4812  0.00
Ce1 0.8771 0.7542 0.7979  0.92
Ce2 0.1094 0.2188 0.6833  0.92
Ce3 0.1229 0.2458 0.2979  0.92
Ce4 0.8906 0.7812 0.1833  0.92
Nd1 0.8036 0.6071 0.5007  0.02
Nd2 0.1964 0.3929 0.0007  0.02
Se1 0.3642 0.7284 0.9990  -0.02
Se2 0.6901 0.3802 0.8371  -0.02
Se3 0.5005 0.0010 0.7836  -0.03
Se4 0.2896 0.5791 0.6666  -0.02
Se5 0.9571 0.9142 0.5746  -0.02
Se6 0.6358 0.2716 0.4990  -0.02
Se7 0.3099 0.6198 0.3371  -0.02
Se8 0.4995 0.9990 0.2836  -0.03
Se9 0.7104 0.4209 0.1666  -0.02
Se10 0.0429 0.0858 0.0746  -0.02


[12]
Li7HgBi4 | GGA-PBE | optimized geometry

Calculated values
The calculation puts the energy relative to the lowest polymorph listed for this composition at 0.012 eV/atom. The crystal system is monoclinic. The total moment comes out at 0.0 μB per formula unit. For the energy relative to the elements, the calculation gives -357.3 meV/atom. The total energy comes out at -2.793 eV/atom. As for the space group: No. 12.

Cell: 5.1854 9.4086 6.4572 Å, 82.54 66.33 74.00°
Atoms (fractional coordinates):
Li1 0.7915 0.9169 0.5000
Li2 0.2085 0.0831 0.5000
Li3 0.0802 0.6550 0.1845
Li4 0.9198 0.3450 0.8155
Li5 0.3584 0.5356 0.7476
Li6 0.5000 0.0000 0.0000
Li7 0.6416 0.4644 0.2524
Hg1 0.0000 0.0000 0.0000
Bi1 0.5778 0.2314 0.6130
Bi2 0.4222 0.7686 0.3870
Bi3 0.7243 0.6894 0.8619
Bi4 0.2757 0.3106 0.1381